MnCdAg2O, optimized geometry, DFT PBE+U; symmetry = P4/mmm (123); total energy = -3.310 eV/atom
1.0
-3.600 3.234 -2.269
-2.871 -1.546 2.353
1.020 3.727 3.693
O Cd Ag Mn
1 1 2 1
direct
0.000 0.500 0.000
0.000 0.000 0.000
0.000 0.000 0.500
0.500 0.000 0.000
0.500 0.500 0.500